Entry 1:
Entry from Alexandria via LeMat-Bulk: a relaxed structure of BaLiSb2Pt (GGA-PBE).

Cell lengths 4.7207, 4.7207, 6.6386 Å; angles 110.83, 110.83, 90.00 degrees
Atoms (fractional coordinates):
1 Sb 0.6317 0.6317 0.2634
2 Sb 0.3683 0.3683 0.7366
3 Pt 0.7500 0.2500 0.5000
4 Li 0.2500 0.7500 0.5000
5 Ba 0.0000 0.0000 0.0000

Output
N(E_F) (states/eV/f.u.): 1.57
Symmetry: I-4m2 (119)
E_form (uncorrected) (kJ/mol of formula units): -387

Entry 2:
Entry from Alexandria via LeMat-Bulk: a relaxed structure of BaBeP2 (GGA-PBE).

Cell lengths 5.2662, 5.2662, 5.2662 Å; angles 134.14, 105.91, 91.69 degrees
Atoms (fractional coordinates):
1 Be 0.1246 0.6246 0.5000
2 P 0.8443 0.3443 0.5000
3 P 0.0392 0.0392 0.0000
4 Ba 0.4919 0.4919 0.0000

Output
N(E_F) (states/eV/f.u.): 1.96
Energy relative to the lowest polymorph listed for this composition (eV/atom): 0.518
Symmetry: Imm2 (44)

Entry 3:
Entry from Alexandria via LeMat-Bulk: a relaxed structure of VFeSn3 (GGA-PBE).

Cell lengths 5.1174, 5.1174, 5.1174 Å; angles 90.00, 90.00, 90.00 degrees
Each line ends with the local moment (μB).
Atoms (fractional coordinates):
1 Fe 0.5000 0.5000 0.5000  3.33
2 Sn 0.0000 0.0000 0.5000  0.00
3 Sn 0.0000 0.5000 0.0000  0.00
4 V 0.0000 0.0000 0.0000  1.16
5 Sn 0.5000 0.0000 0.0000  0.00

Output
N(E_F) (states/eV/f.u.): 8.20
Energy relative to the lowest polymorph listed for this composition (eV/atom): 0.160
Symmetry: Pm-3m (221)

> Which value of N(E_F) does entry 3 give?

8.20 states/eV/f.u.

Copy entry 1 word for word.
Entry from Alexandria via LeMat-Bulk: a relaxed structure of BaLiSb2Pt (GGA-PBE).

Cell lengths 4.7207, 4.7207, 6.6386 Å; angles 110.83, 110.83, 90.00 degrees
Atoms (fractional coordinates):
1 Sb 0.6317 0.6317 0.2634
2 Sb 0.3683 0.3683 0.7366
3 Pt 0.7500 0.2500 0.5000
4 Li 0.2500 0.7500 0.5000
5 Ba 0.0000 0.0000 0.0000

Output
N(E_F) (states/eV/f.u.): 1.57
Symmetry: I-4m2 (119)
E_form (uncorrected) (kJ/mol of formula units): -387

> N(E_F) of number 1 (BaLiSb2Pt)?

1.57 states/eV/f.u.